[1]
DFT (PBE-GGA) results for a geometry-optimized Y3InS6 structure.

Unit cell a=6.620 b=8.607 c=8.607 alpha=102.77 beta=90.00 gamma=90.00
Positions (direct):
S (0.178, 0.033, 0.967)
Y (0.982, 0.715, 0.912)
Y (0.894, 0.596, 0.404)
S (0.687, 0.307, 0.368)
In (0.508, 0.799, 0.201)
Y (0.482, 0.285, 0.088)
S (0.214, 0.100, 0.556)
S (0.187, 0.693, 0.632)
S (0.214, 0.444, 0.900)
S (0.640, 0.220, 0.780)
S (0.140, 0.780, 0.220)
S (0.678, 0.967, 0.033)
S (0.187, 0.368, 0.307)
Y (0.982, 0.088, 0.285)
S (0.714, 0.556, 0.100)
In (0.008, 0.201, 0.799)
S (0.687, 0.632, 0.693)
Y (0.482, 0.912, 0.715)
Y (0.394, 0.404, 0.596)
S (0.714, 0.900, 0.444)

Formation energy from raw total energies = -1.692 eV/atom
Magnetization = 0.00 μB per formula unit
Crystal system = orthorhombic
Volume = 23.9 Å³/atom

=====

[2]
DFT (PBE-GGA) results for a geometry-optimized AcPrTlCd structure.

Unit cell a=5.676 b=5.676 c=5.676 alpha=60.00 beta=60.00 gamma=60.00
Positions (direct):
Ac (0.500, 0.500, 0.500)
Tl (0.750, 0.750, 0.750)
Pr (0.000, 0.000, 0.000)
Cd (0.250, 0.250, 0.250)

Magnetization = 0.43 μB per formula unit
Crystal system = cubic
Energy = -13.48 eV per formula unit
Volume = 32.3 Å³/atom

=====

[3]
DFT (PBE-GGA) results for a geometry-optimized GaFeSb3 structure.

Unit cell a=5.179 b=5.179 c=5.179 alpha=90.00 beta=90.00 gamma=90.00
Positions (direct):
Sb (0.000, 0.500, 0.000)
Sb (0.500, 0.000, 0.000)
Fe (0.500, 0.500, 0.500)
Ga (0.000, 0.000, 0.000)
Sb (0.000, 0.000, 0.500)

Formation energy from raw total energies = 1.097 eV/atom
Magnetization = 3.12 μB per formula unit
Crystal system = cubic
Volume = 27.8 Å³/atom

=====

[4]
DFT (PBE-GGA) results for a geometry-optimized Tc2P structure.

Unit cell a=10.251 b=10.251 c=10.251 alpha=163.72 beta=163.72 gamma=23.10
Positions (direct):
Tc (0.571, 0.571, 0.000)
Tc (0.321, 0.821, 0.500)
Tc (0.179, 0.679, 0.500)
Tc (0.429, 0.429, 0.000)
P (0.750, 0.250, 0.500)
P (0.000, 0.000, 0.000)

Magnetization = 0.00 μB per formula unit
Crystal system = tetragonal
Energy = -26.18 eV per formula unit
Volume = 14.1 Å³/atom

=====

[5]
DFT (PBE-GGA) results for a geometry-optimized MnMo2 structure.

Unit cell a=4.113 b=4.113 c=2.855 alpha=90.00 beta=90.00 gamma=90.00
Positions (direct):
Mo (0.500, 0.000, 0.500)
Mn (0.000, 0.000, 0.000)
Mo (0.000, 0.500, 0.500)

Magnetization = 0.00 μB per formula unit
Crystal system = tetragonal
Energy = -28.60 eV per formula unit
Volume = 16.1 Å³/atom

=====

[6]
DFT (PBE-GGA) results for a geometry-optimized ScTl2GaBr6 structure.

Unit cell a=7.909 b=7.909 c=7.992 alpha=60.31 beta=60.31 gamma=59.96
Positions (direct):
Sc (0.322, 0.322, 0.034)
Tl (0.030, 0.030, 0.911)
Br (0.556, 0.176, 0.258)
Br (0.643, 0.107, 0.786)
Br (0.107, 0.465, 0.786)
Ga (0.815, 0.815, 0.555)
Br (0.009, 0.557, 0.258)
Br (0.176, 0.010, 0.258)
Br (0.465, 0.642, 0.785)
Tl (0.538, 0.538, 0.386)

Formation energy from raw total energies = -1.138 eV/atom
Magnetization = 0.00 μB per formula unit
Crystal system = trigonal
Volume = 35.5 Å³/atom

=====

[7]
DFT (PBE-GGA) results for a geometry-optimized BaZnGaAg2 structure.

Unit cell a=4.730 b=4.588 c=6.482 alpha=110.73 beta=111.40 gamma=90.00
Positions (direct):
Ag (0.060, 0.060, 0.119)
Ga (0.195, 0.695, 0.390)
Zn (0.817, 0.817, 0.634)
Ag (0.698, 0.198, 0.395)
Ba (0.443, 0.443, 0.885)

Magnetization = 0.00 μB per formula unit
Crystal system = orthorhombic
Energy = -13.05 eV per formula unit
Volume = 24.2 Å³/atom

=====

[8]
DFT (PBE-GGA) results for a geometry-optimized CaIn2Hg4 structure.

Unit cell a=5.137 b=5.137 c=8.793 alpha=73.02 beta=73.02 gamma=60.00
Positions (direct):
Hg (0.868, 0.868, 0.397)
Hg (0.386, 0.386, 0.841)
Hg (0.614, 0.614, 0.159)
In (0.252, 0.252, 0.243)
Ca (0.000, 0.000, 0.000)
In (0.748, 0.748, 0.757)
Hg (0.132, 0.132, 0.603)

Magnetization = 0.00 μB per formula unit
Crystal system = trigonal
Energy = -10.16 eV per formula unit
Volume = 27.0 Å³/atom

=====

[9]
DFT (PBE-GGA) results for a geometry-optimized SbTePbI2 structure.

Unit cell a=6.064 b=6.064 c=6.159 alpha=90.00 beta=90.00 gamma=90.00
Positions (direct):
Pb (0.000, 0.000, 0.000)
I (0.000, 0.500, 0.000)
Te (0.000, 0.000, 0.500)
Sb (0.500, 0.500, 0.500)
I (0.500, 0.000, 0.000)

Formation energy from raw total energies = 0.385 eV/atom
Magnetization = 1.35 μB per formula unit
Crystal system = tetragonal
Volume = 45.3 Å³/atom

=====

[10]
DFT (PBE-GGA) results for a geometry-optimized Er2InHg9 structure.

Unit cell a=4.628 b=4.628 c=13.707 alpha=90.00 beta=90.00 gamma=90.00
Positions (direct):
Hg (0.000, 0.500, 0.831)
Hg (0.500, 0.000, 0.831)
Hg (0.500, 0.500, 0.000)
Er (0.000, 0.000, 0.327)
Hg (0.000, 0.500, 0.500)
Hg (0.500, 0.000, 0.500)
Hg (0.500, 0.000, 0.169)
Hg (0.500, 0.500, 0.339)
Hg (0.000, 0.500, 0.169)
Hg (0.500, 0.500, 0.661)
Er (0.000, 0.000, 0.673)
In (0.000, 0.000, 0.000)

Magnetization = 0.00 μB per formula unit
Crystal system = tetragonal
Energy = -16.86 eV per formula unit
Volume = 24.5 Å³/atom

=====

[11]
DFT (PBE-GGA) results for a geometry-optimized CdGeBr2 structure.

Unit cell a=5.246 b=5.246 c=5.246 alpha=60.00 beta=60.00 gamma=60.00
Positions (direct):
Cd (0.500, 0.500, 0.500)
Ge (0.000, 0.000, 0.000)
Br (0.750, 0.750, 0.750)
Br (0.250, 0.250, 0.250)

Formation energy from raw total energies = 0.034 eV/atom
Magnetization = 0.00 μB per formula unit
Crystal system = cubic
Volume = 25.5 Å³/atom

=====

[12]
DFT (PBE-GGA) results for a geometry-optimized NdZn2Hg structure.

Unit cell a=4.578 b=5.653 c=4.564 alpha=128.26 beta=90.00 gamma=90.00
Positions (direct):
Zn (0.000, 0.094, 0.188)
Zn (0.500, 0.234, 0.468)
Hg (0.000, 0.478, 0.956)
Nd (0.500, 0.797, 0.594)

Magnetization = 0.00 μB per formula unit
Crystal system = orthorhombic
Energy = -8.07 eV per formula unit
Volume = 23.2 Å³/atom

=====

Question: The lowest volume belongs to which entry?
Answer: Tc2P

=====

Question: Number 8 is which compound?
Answer: CaIn2Hg4